The following is a PBE with a Hubbard U calculation of a geometry-optimized Tm2CoSeO6 structure, from the Open Quantum Materials Database.

The total DFT energy (no corrections) is -6.8784 eV/atom.

The structure belongs to space group P2_1/c (No. 14); the cell edges are 5.279, 5.614 and 9.304 Å and the angles 90.00°, 123.71° and 90.00°. Symmetry generates all atoms from Tm at (0.218, 0.076, 0.246), Co at (0.000, 0.000, 0.500), Se at (0.500, 0.000, 0.000), O at (0.125, 0.190, 0.936), O at (0.241, 0.697, 0.926) and O at (0.391, 0.057, 0.753).